DFT (PBE) results for a relaxed structure of LiErCdCo.

Geometry as POSCAR:
```
LiErCdCo
1.0
-4.418 1.338 0.512
-3.449 -2.932 -1.035
-2.599 -1.818 3.392
Cd Co Li Er
1 1 1 1
Direct
0.750 0.750 0.750
0.500 0.500 0.500
0.000 0.000 0.000
0.250 0.250 0.250
```

Summary:
As for the space-group type: No. 216. The value obtained for the uncorrected energy is -0.1353 hartree per atom.

***

DFT (PBE) results for a relaxed structure of YHo2Pb.

Geometry as POSCAR:
```
YHo2Pb
1.0
-3.431 -0.252 -3.461
-2.660 -2.856 2.846
-2.173 3.887 1.871
Pb Y Ho
1 1 2
Direct
0.500 0.500 0.500
0.500 0.000 0.000
0.000 0.000 0.500
0.000 0.500 0.000
```

Summary:
As for the space-group type: No. 123. Its distance to the lowest polymorph of the same formula is 0 meV/atom.

***

DFT (PBE) results for a relaxed structure of Al2InOs.

Geometry as POSCAR:
```
Al2InOs
1.0
-0.705 2.726 -3.911
0.338 -0.091 -4.806
-4.436 -1.274 -1.161
Os Al In
1 2 1
Direct
0.259 0.259 0.201
0.990 0.990 0.029
0.743 0.743 0.769
0.508 0.508 0.501
```

Summary:
As for the space-group type: No. 8. The value obtained for the uncorrected energy is -0.1943 hartree per atom.

***

DFT (PBE) results for a relaxed structure of AcTm3Zn2.

Geometry as POSCAR:
```
AcTm3Zn2
1.0
-1.245 -2.623 2.113
3.251 -1.524 0.025
3.050 6.671 10.077
Ac Tm Zn
1 3 2
Direct
0.500 0.500 0.500
0.000 0.000 0.000
0.000 0.000 0.725
0.000 0.000 0.275
0.500 0.500 0.862
0.500 0.500 0.138
```

Summary:
As for the space-group type: No. 123. The value obtained for the uncorrected energy is -0.1303 hartree per atom.

***

DFT (PBE) results for a relaxed structure of BaCuS2.

Geometry as POSCAR:
```
BaCuS2
1.0
-2.829 0.134 3.814
1.308 -4.426 1.127
3.312 1.590 2.401
Ba Cu S
1 1 2
Direct
0.500 0.500 0.500
0.000 0.000 0.000
0.000 0.500 0.000
0.500 0.000 0.000
```

Summary:
As for the space-group type: No. 123. For the uncorrected formation energy, the calculation gives -4.1 eV/f.u.

***

DFT (PBE) results for a relaxed structure of Ac6NiOsPd2.

Geometry as POSCAR:
```
Ac6NiOsPd2
1.0
7.567 -0.007 0.002
3.777 6.552 0.002
3.783 2.183 6.998
Ac Ni Os Pd
6 1 1 2
Direct
0.585 0.230 0.251
0.230 0.934 0.251
0.934 0.584 0.251
0.429 0.724 0.758
0.723 0.090 0.758
0.089 0.429 0.758
0.830 0.829 0.513
0.328 0.328 0.017
0.506 0.507 0.480
0.007 0.007 0.979
```

Summary:
As for the space-group type: No. 1. The value obtained for the uncorrected energy is -0.2043 hartree per atom.